The following is a SCAN calculation of a PBEsol-optimized structure of BaCo2P2H2O9, from the Alexandria database.

a = 5.161 Å, b = 5.161 Å, c = 8.311 Å
α = 91.82°, β = 91.82°, γ = 56.39°
Fractional coordinates of all 16 atoms:
Ba: 0.000 0.000 0.000
Co: 0.388 0.277 0.357
Co: 0.723 0.612 0.643
P: 0.334 0.358 0.737
P: 0.642 0.666 0.263
H: 0.864 0.014 0.570
H: 0.986 0.136 0.430
O: 0.071 0.417 0.847
O: 0.175 0.450 0.565
O: 0.421 0.558 0.213
O: 0.442 0.579 0.787
O: 0.550 0.825 0.435
O: 0.583 0.929 0.153
O: 0.624 0.023 0.744
O: 0.811 0.189 0.500
O: 0.977 0.376 0.256

Values from the calculation:
Total moment in μB per cell: 6.0
Uncorrected energy in eV/cell: -192.07
N(E_F) in states/eV/atom: 0.000
Symmetry: C2, No. 5